Compound: Ba2AlOs
Source: Alexandria via LeMat-Bulk
Functional: PBE-GGA
Structure: optimized geometry

Properties
- Total energy: -17.880 eV/cell
- DOS(E_F): 4.07 states/eV per cell
- Crystal system: tetragonal
- ΔE_f: 0.234 eV per atom

```
data_Ba2AlOs
_cell_length_a 3.553
_cell_length_b 3.553
_cell_length_c 9.704
_cell_angle_alpha 90.00
_cell_angle_beta 90.00
_cell_angle_gamma 90.00
_space_group_name_H-M_alt 'P 4 m m'
_space_group_IT_number 99
loop_
_space_group_symop_operation_xyz
'x,y,z'
'-y,x,z'
'-x,-y,z'
'y,-x,z'
'-x,y,z'
'y,x,z'
'x,-y,z'
'-y,-x,z'
loop_
_atom_site_label
_atom_site_fract_x
_atom_site_fract_y
_atom_site_fract_z
_atom_site_occupancy
Ba1 0.000 0.000 0.000 1
Ba2 0.500 0.500 0.430 1
Al1 0.500 0.500 0.757 1
Os1 0.000 0.000 0.674 1
```